No. 1
Compound: NaTlSb4
Source: the Alexandria database
Functional: PBE
Structure: optimized geometry

Cell lengths 9.1005, 9.1005, 9.1005 Å; angles 90.00, 90.00, 90.00 degrees
Space group F-43m (No. 216)
Unique sites:
1 Na 0.0000 0.0000 0.0000 [4 per cell]
2 Tl 0.2500 0.2500 0.2500 [4 per cell]
3 Sb 0.1234 0.1234 0.6234 [16 per cell]

Properties
**Total moment**: 0.00 μB per cell
**Raw formation energy**: 0.034 eV per atom
**Offset from the most stable computed form**: 82 meV/atom
**Energy**: -79.9 eV per cell
**D(E_F)**: 32.642 states/eV per cell
**Calculated density**: 6.3 g/cm³

***

No. 2
Compound: Tm4Mg5Zr
Source: the Alexandria database
Functional: PBE
Structure: optimized geometry

Cell lengths 3.6744, 3.6744, 18.8244 Å; angles 90.00, 90.00, 90.00 degrees
Space group P4/mmm (No. 123)
Unique sites:
1 Tm 0.0000 0.0000 0.1026 [2 per cell]
2 Tm 0.0000 0.0000 0.3101 [2 per cell]
3 Mg 0.5000 0.5000 0.0000 [1 per cell]
4 Mg 0.5000 0.5000 0.2062 [2 per cell]
5 Mg 0.5000 0.5000 0.4111 [2 per cell]
6 Zr 0.0000 0.0000 0.5000 [1 per cell]

Properties
**Total moment**: 0.00 μB per cell
**Energy**: -34.6 eV per cell
**D(E_F)**: 12.693 states/eV per cell
**Calculated density**: 5.8 g/cm³
**Energy relative to the elements**: -20 meV per atom

***

No. 3
Compound: PaTc2AsC
Source: the Alexandria database
Functional: PBE
Structure: optimized geometry

Cell lengths 3.8747, 11.3208, 7.3236 Å; angles 90.00, 90.00, 90.00 degrees
Space group Cmcm (No. 63)
Unique sites:
1 Pa 0.0000 0.0444 0.2500 [4 per cell]
2 Tc 0.0000 0.3351 0.0590 [8 per cell]
3 As 0.0000 0.2362 0.7500 [4 per cell]
4 C 0.0000 0.5000 0.0000 [4 per cell]

Properties
**Total moment**: 0.00 μB per cell
**Energy**: -184.0 eV per cell
**D(E_F)**: 19.998 states/eV per cell
**Calculated density**: 10.6 g/cm³
**Energy relative to the elements**: -379 meV per atom

***

No. 4
Compound: LaErZnTc
Source: the Alexandria database
Functional: PBE
Structure: optimized geometry

Cell lengths 7.1074, 7.1074, 7.1074 Å; angles 90.00, 90.00, 90.00 degrees
Space group F-43m (No. 216)
Unique sites:
1 La 0.0000 0.0000 0.0000 [4 per cell]
2 Er 0.0000 0.0000 0.5000 [4 per cell]
3 Zn 0.2500 0.2500 0.7500 [4 per cell]
4 Tc 0.2500 0.2500 0.2500 [4 per cell]

Properties
**Total moment**: 0.00 μB per cell
**Energy**: -85.8 eV per cell
**D(E_F)**: 7.961 states/eV per cell
**Calculated density**: 8.7 g/cm³
**Energy relative to the elements**: -80 meV per atom

***

No. 5
Compound: AlOsPt2
Source: the Alexandria database
Functional: PBE
Structure: optimized geometry

Cell lengths 9.2253, 2.7596, 4.8043 Å; angles 90.00, 103.47, 90.00 degrees
Space group Cm (No. 8)
Unique sites:
1 Al 0.0000 0.0000 0.0000 [2 per cell]
2 Os 0.2308 0.5000 0.2812 [2 per cell]
3 Pt 0.2597 0.0000 0.7940 [2 per cell]
4 Pt 0.4863 0.0000 0.4944 [2 per cell]

Properties
**Total moment**: 0.00 μB per cell
**Energy**: -56.8 eV per cell
**D(E_F)**: 5.826 states/eV per cell
**Calculated density**: 17.0 g/cm³
**Energy relative to the elements**: -336 meV per atom

***

No. 6
Compound: TlCo2Tc
Source: the Alexandria database
Functional: PBE
Structure: optimized geometry

Cell lengths 2.8570, 2.8570, 25.5010 Å; angles 90.00, 90.00, 120.00 degrees
Space group R-3m (No. 166, hexagonal axes)
Unique sites:
1 Tl 0.0000 0.0000 0.0000 [3 per cell]
2 Co 0.0000 0.0000 0.2430 [6 per cell]
3 Tc 0.0000 0.0000 0.5000 [3 per cell]

Properties
**Total moment**: 6.57 μB per cell
**Offset from the most stable computed form**: 203 meV/atom
**Energy**: -73.5 eV per cell
**D(E_F)**: 18.240 states/eV per cell
**Calculated density**: 11.6 g/cm³
**Energy relative to the elements**: 615 meV per atom

***

No. 7
Compound: Li7PmSn4
Source: the Alexandria database
Functional: PBE
Structure: optimized geometry

Cell lengths 12.6501, 5.0259, 10.1322 Å; angles 90.00, 125.63, 90.00 degrees
Space group C2/m (No. 12)
Unique sites:
1 Li 0.0000 0.0000 0.0000 [2 per cell]
2 Li 0.0746 0.5000 0.3738 [4 per cell]
3 Li 0.1591 0.0000 0.5867 [4 per cell]
4 Li 0.2153 0.5000 0.8748 [4 per cell]
5 Pm 0.0000 0.5000 0.0000 [2 per cell]
6 Sn 0.0761 0.0000 0.7974 [4 per cell]
7 Sn 0.1914 0.0000 0.3128 [4 per cell]

Properties
**Total moment**: 0.56 μB per cell
**Energy**: -74.5 eV per cell
**D(E_F)**: 8.594 states/eV per cell
**Calculated density**: 4.2 g/cm³
**Energy relative to the elements**: -256 meV per atom

***

No. 8
Compound: TbPm3Sm2
Source: the Alexandria database
Functional: PBE
Structure: optimized geometry

Cell lengths 5.1273, 15.3726, 5.1343 Å; angles 90.00, 90.00, 90.00 degrees
Space group Cmmm (No. 65)
Unique sites:
1 Tb 0.0000 0.0000 0.0000 [2 per cell]
2 Pm 0.0000 0.1665 0.5000 [4 per cell]
3 Pm 0.0000 0.5000 0.5000 [2 per cell]
4 Sm 0.0000 0.3337 0.0000 [4 per cell]

Properties
**Total moment**: 0.00 μB per cell
**Offset from the most stable computed form**: 0 meV/atom
**Energy**: -56.5 eV per cell
**D(E_F)**: 17.826 states/eV per cell
**Calculated density**: 7.3 g/cm³
**Energy relative to the elements**: 15 meV per atom